A relaxed ThPaSe2 crystal, computed with PBE.

Values from the calculation:
Final energy: -29.338 eV for the cell shown
Density of states at the Fermi level: 5.90 states/eV/f.u.
Crystal system: triclinic
Space group: P-1, No. 2

POSCAR file:
```
ThPaSe2
1.0
3.997 0.000 0.000
-1.925 3.512 0.000
-0.145 -2.273 7.144
Th Pa Se
1 1 2
Direct
0.000 0.000 0.000
0.500 0.000 0.500
0.247 0.494 0.742
0.753 0.506 0.258
```